# Nd2Dy2Si3 (GGA-PBE, relaxed)
# * raw total energy: -5.555 eV/atom
# * M_tot: 0.004 μB per cell
data_Nd2Dy2Si3
_space_group_name_H-M_alt 'C m c m'
_space_group_IT_number 63
_space_group_name_Hall '-C 2c 2'
_cell_length_a 4.661
_cell_length_b 21.069
_cell_length_c 6.980
_cell_angle_alpha 90.00
_cell_angle_beta 90.00
_cell_angle_gamma 90.00
loop_
_atom_site_label
_atom_site_fract_x
_atom_site_fract_y
_atom_site_fract_z
Nd1 0.000 0.046 0.250
Nd2 0.000 0.123 0.750
Dy1 0.000 0.312 0.517
Si1 0.000 0.194 0.250
Si2 0.000 0.448 0.073